## YMgTl2 (GGA-PBE)

Data for a geometry-optimized YMgTl2 structure.

Lattice parameters (Å, degrees): 5.2831 5.2831 6.0557 102.13 102.13 40.72
Fractional coordinates of all 4 atoms:
Y: 0.0000 0.0000 0.0000
Mg: 0.5000 0.5000 0.5000
Tl: 0.2420 0.2420 0.7316
Tl: 0.7580 0.7580 0.2684

The value obtained for the total magnetization is 0.000 μB/atom. The total DFT energy (no corrections) is -13.50 eV for the cell shown. As for the symmetry: C2/m. The calculation puts the formation energy at -177 meV per atom.

## CsNpBr2Cl8 (GGA-PBE)

Data for a geometry-optimized CsNpBr2Cl8 structure.

Lattice parameters (Å, degrees): 8.0444 8.0444 9.0169 90.00 90.00 120.00
Fractional coordinates of all 12 atoms:
Cs: 0.0000 0.0000 0.0000
Np: 0.0000 0.0000 0.5000
Br: 0.3333 0.6667 0.2244
Br: 0.6667 0.3333 0.7756
Cl: 0.1470 0.2940 0.6644
Cl: 0.1470 0.8530 0.6644
Cl: 0.2940 0.1470 0.3356
Cl: 0.3333 0.6667 0.9847
Cl: 0.6667 0.3333 0.0153
Cl: 0.7060 0.8530 0.6644
Cl: 0.8530 0.1470 0.3356
Cl: 0.8530 0.7060 0.3356

The value obtained for the total magnetization is 0.167 μB/atom. The total DFT energy (no corrections) is -44.70 eV for the cell shown. As for the symmetry: P-3m1. For the raw formation energy, the calculation gives -1.0654 eV/atom.

## PmSn2Hg (GGA-PBE)

Data for a geometry-optimized PmSn2Hg structure.

Lattice parameters (Å, degrees): 3.9834 3.9834 6.7908 90.00 90.00 90.00
Fractional coordinates of all 4 atoms:
Pm: 0.0000 0.0000 0.0000
Sn: 0.5000 0.5000 0.2747
Sn: 0.5000 0.5000 0.7253
Hg: 0.0000 0.0000 0.5000

The value obtained for the total magnetization is 0.000 μB/atom. The total DFT energy (no corrections) is -14.28 eV for the cell shown. As for the symmetry: P4/mmm. The calculation puts the formation energy at -305 meV per atom. The relative energy among the computed polymorphs comes out at 188 meV per atom.

## Na2HoC2O6 (GGA-PBE)

Data for a geometry-optimized Na2HoC2O6 structure.

Lattice parameters (Å, degrees): 5.1568 5.1568 7.6742 90.00 90.00 120.00
Fractional coordinates of all 11 atoms:
Na: 0.3333 0.6667 0.3311
Na: 0.6667 0.3333 0.6689
Ho: 0.0000 0.0000 0.0000
C: 0.3333 0.6667 0.8361
C: 0.6667 0.3333 0.1639
O: 0.1003 0.3999 0.8329
O: 0.2996 0.8997 0.8329
O: 0.3999 0.2996 0.1671
O: 0.6001 0.7004 0.8329
O: 0.7004 0.1003 0.1671
O: 0.8997 0.6001 0.1671

The value obtained for the total magnetization is 0.000 μB/atom. The total DFT energy (no corrections) is -75.95 eV for the cell shown. As for the symmetry: P-3. For the raw formation energy, the calculation gives -1.8674 eV/atom.

## Tm2Al15Ga2 (GGA-PBE)

Data for a geometry-optimized Tm2Al15Ga2 structure.

Lattice parameters (Å, degrees): 7.1838 7.1838 7.1838 86.22 86.22 86.22
Fractional coordinates of all 19 atoms:
Tm: 0.1240 0.1240 0.1240
Tm: 0.8760 0.8760 0.8760
Al: 0.0000 0.0000 0.5000
Al: 0.0000 0.2819 0.7181
Al: 0.0000 0.5000 0.0000
Al: 0.0000 0.7181 0.2819
Al: 0.1517 0.6324 0.6324
Al: 0.2819 0.0000 0.7181
Al: 0.2819 0.7181 0.0000
Al: 0.3676 0.3676 0.8483
Al: 0.3676 0.8483 0.3676
Al: 0.5000 0.0000 0.0000
Al: 0.6324 0.1517 0.6324
Al: 0.6324 0.6324 0.1517
Al: 0.7181 0.0000 0.2819
Al: 0.7181 0.2819 0.0000
Al: 0.8483 0.3676 0.3676
Ga: 0.3741 0.3741 0.3741
Ga: 0.6259 0.6259 0.6259

The value obtained for the total magnetization is 0.000 μB/atom. The total DFT energy (no corrections) is -71.33 eV for the cell shown. As for the symmetry: R-3m. The calculation puts the formation energy at -10 meV per atom.

## HoTmCuRe (GGA-PBE)

Data for a geometry-optimized HoTmCuRe structure.

Lattice parameters (Å, degrees): 4.8293 4.8293 4.8293 60.00 60.00 60.00
Fractional coordinates of all 4 atoms:
Ho: 0.0000 0.0000 0.0000
Tm: 0.5000 0.5000 0.5000
Cu: 0.7500 0.7500 0.7500
Re: 0.2500 0.2500 0.2500

The value obtained for the total magnetization is 0.000 μB/atom. The total DFT energy (no corrections) is -25.64 eV for the cell shown. As for the symmetry: F-43m. The calculation puts the formation energy at -11 meV per atom.

## LaYZnOs (GGA-PBE)

Data for a geometry-optimized LaYZnOs structure.

Lattice parameters (Å, degrees): 5.0442 5.0442 5.0442 60.00 60.00 60.00
Fractional coordinates of all 4 atoms:
La: 0.0000 0.0000 0.0000
Y: 0.5000 0.5000 0.5000
Zn: 0.2500 0.2500 0.2500
Os: 0.7500 0.7500 0.7500

The value obtained for the total magnetization is 0.000 μB/atom. The total DFT energy (no corrections) is -24.56 eV for the cell shown. As for the symmetry: F-43m. The calculation puts the formation energy at -167 meV per atom.

## CaZnGaCu2 (GGA-PBE)

Data for a geometry-optimized CaZnGaCu2 structure.

Lattice parameters (Å, degrees): 6.1299 6.1299 6.1299 141.31 141.06 56.06
Fractional coordinates of all 5 atoms:
Ca: 0.0000 0.0000 0.0000
Zn: 0.2613 0.7613 0.5000
Ga: 0.6181 0.6181 0.0000
Cu: 0.3931 0.3931 0.0000
Cu: 0.7553 0.2553 0.5000

The value obtained for the total magnetization is 0.000 μB/atom. The total DFT energy (no corrections) is -15.52 eV for the cell shown. As for the symmetry: Imm2. The calculation puts the formation energy at -206 meV per atom.

## Sm3Tm2Cd7 (GGA-PBE)

Data for a geometry-optimized Sm3Tm2Cd7 structure.

Lattice parameters (Å, degrees): 12.2381 12.2381 5.3821 90.00 90.00 156.04
Fractional coordinates of all 12 atoms:
Sm: 0.0000 0.0000 0.0000
Sm: 0.1687 0.8313 0.0000
Sm: 0.8313 0.1687 0.0000
Tm: 0.3569 0.6431 0.5000
Tm: 0.6431 0.3569 0.5000
Cd: 0.0738 0.9262 0.5000
Cd: 0.2281 0.7719 0.5000
Cd: 0.4194 0.5806 0.0000
Cd: 0.5000 0.5000 0.5000
Cd: 0.5806 0.4194 0.0000
Cd: 0.7719 0.2281 0.5000
Cd: 0.9262 0.0738 0.5000

The value obtained for the total magnetization is 0.000 μB/atom. The total DFT energy (no corrections) is -31.56 eV for the cell shown. As for the symmetry: Cmmm. The calculation puts the formation energy at -171 meV per atom.

## Li2TiCuF (GGA-PBE)

Data for a geometry-optimized Li2TiCuF structure.

Lattice parameters (Å, degrees): 3.6820 3.6820 5.8881 90.00 90.00 90.00
Fractional coordinates of all 5 atoms:
Li: 0.0000 0.5000 0.0000
Li: 0.5000 0.0000 0.0000
Ti: 0.0000 0.0000 0.5000
Cu: 0.5000 0.5000 0.5000
F: 0.5000 0.5000 0.0000

The value obtained for the total magnetization is 0.429 μB/atom. The total DFT energy (no corrections) is -20.50 eV for the cell shown. As for the symmetry: P4/mmm. For the raw formation energy, the calculation gives -0.5629 eV/atom. The relative energy among the computed polymorphs comes out at 0 meV per atom.

## BaNb3Ge (GGA-PBE)

Data for a geometry-optimized BaNb3Ge structure.

Lattice parameters (Å, degrees): 5.0205 5.0205 5.0205 90.00 90.00 90.00
Fractional coordinates of all 5 atoms:
Ba: 0.0000 0.0000 0.0000
Nb: 0.0000 0.5000 0.5000
Nb: 0.5000 0.0000 0.5000
Nb: 0.5000 0.5000 0.0000
Ge: 0.5000 0.5000 0.5000

The value obtained for the total magnetization is 0.186 μB/atom. The total DFT energy (no corrections) is -32.02 eV for the cell shown. As for the symmetry: Pm-3m. The calculation puts the formation energy at 945 meV per atom. The relative energy among the computed polymorphs comes out at 0 meV per atom.

## KTc2Hg (GGA-PBE)

Data for a geometry-optimized KTc2Hg structure.

Lattice parameters (Å, degrees): 10.9575 10.9575 10.9575 15.07 15.07 15.07
Fractional coordinates of all 4 atoms:
K: 0.0000 0.0000 0.0000
Tc: 0.2411 0.2411 0.2411
Tc: 0.7589 0.7589 0.7589
Hg: 0.5000 0.5000 0.5000

The value obtained for the total magnetization is 0.213 μB/atom. The total DFT energy (no corrections) is -17.62 eV for the cell shown. As for the symmetry: R-3m. The calculation puts the formation energy at 1128 meV per atom.